Compound: GdAlGe
Source: OQMD
Functional: PBE
Structure: optimized geometry

**Electronic total energy**: -13.28 eV per formula unit
**SG**: No. 216

abc: 4.649 4.649 4.649
angles: 60.00 60.00 60.00
Element x y z (fractional)
Al 0.000 0.000 0.000
Gd 0.250 0.250 0.250
Ge 0.750 0.750 0.750

Compound: Gd2AlGe
Source: OQMD
Functional: PBE
Structure: optimized geometry

**Electronic total energy**: -20.45 eV per formula unit
**SG**: No. 38

abc: 4.044 5.924 5.924
angles: 43.73 90.00 90.00
Element x y z (fractional)
Al 0.000 0.425 0.425
Gd 0.000 0.140 0.140
Gd 0.500 0.859 0.859
Ge 0.500 0.576 0.576

Compound: GdAlGe
Source: OQMD
Functional: PBE
Structure: optimized geometry

**Electronic total energy**: -14.93 eV per formula unit
**SG**: No. 109

abc: 7.902 7.902 7.902
angles: 149.37 149.37 43.87
Element x y z (fractional)
Al 0.652 0.652 0.000
Al 0.402 0.902 0.500
Gd 0.068 0.068 0.000
Gd 0.818 0.318 0.500
Ge 0.488 0.488 0.000
Ge 0.238 0.738 0.500

Compound: GdHo2Al3NiGe2
Source: OQMD
Functional: PBE
Structure: optimized geometry

**Electronic total energy**: -46.56 eV per formula unit
**SG**: No. 38

abc: 4.183 6.944 6.944
angles: 120.04 90.00 90.00
Element x y z (fractional)
Al 0.500 0.771 0.001
Al 0.500 0.228 0.228
Al 0.500 0.001 0.771
Gd 0.000 0.597 0.597
Ge 0.500 0.667 0.331
Ge 0.500 0.331 0.667
Ho 0.000 0.999 0.402
Ho 0.000 0.402 0.999
Ni 0.000 0.003 0.003

Compound: Gd2HoAl3NiGe2
Source: OQMD
Functional: PBE
Structure: optimized geometry

**Electronic total energy**: -46.62 eV per formula unit
**SG**: No. 38

abc: 4.198 6.966 6.966
angles: 119.97 90.00 90.00
Element x y z (fractional)
Al 0.500 0.229 0.001
Al 0.500 0.001 0.229
Al 0.500 0.771 0.771
Gd 0.000 0.999 0.597
Gd 0.000 0.597 0.999
Ge 0.500 0.664 0.334
Ge 0.500 0.334 0.664
Ho 0.000 0.402 0.402
Ni 0.000 0.003 0.003

Compound: Tb2GdAl3NiGe2
Source: OQMD
Functional: PBE
Structure: optimized geometry

**Electronic total energy**: -46.66 eV per formula unit
**SG**: No. 38

abc: 4.201 6.980 6.980
angles: 120.01 90.00 90.00
Element x y z (fractional)
Al 0.500 0.773 0.000
Al 0.500 0.227 0.227
Al 0.500 0.000 0.773
Gd 0.000 0.597 0.597
Ge 0.500 0.667 0.332
Ge 0.500 0.332 0.667
Ni 0.000 0.001 0.001
Tb 0.000 0.000 0.403
Tb 0.000 0.403 0.000

Compound: Gd3Al3GePd2
Source: OQMD
Functional: PBE
Structure: optimized geometry

**SG**: No. 189
**Relative energy among the computed polymorphs**: 0.000 eV per formula unit

abc: 7.489 7.489 3.863
angles: 90.00 90.00 120.00
Element x y z (fractional)
Al 0.740 0.000 0.500
Al 0.260 0.260 0.500
Al 0.000 0.740 0.500
Gd 0.399 0.000 0.000
Gd 0.000 0.399 0.000
Gd 0.601 0.601 0.000
Ge 0.000 0.000 0.000
Pd 0.667 0.333 0.500
Pd 0.333 0.667 0.500

Compound: Gd3Al3GePd2
Source: OQMD
Functional: PBE
Structure: optimized geometry

**SG**: No. 189
**Relative energy among the computed polymorphs**: 3.090 eV per formula unit

abc: 7.613 7.613 3.994
angles: 90.00 90.00 120.00
Element x y z (fractional)
Al 0.407 0.000 0.500
Al 0.000 0.407 0.500
Al 0.593 0.593 0.500
Gd 0.724 0.000 0.000
Gd 0.276 0.276 0.000
Gd 0.000 0.724 0.000
Ge 0.000 0.000 0.500
Pd 0.667 0.333 0.000
Pd 0.333 0.667 0.000

Please write out number 1 again, unchanged.
Compound: GdAlGe
Source: OQMD
Functional: PBE
Structure: optimized geometry

**Electronic total energy**: -13.28 eV per formula unit
**SG**: No. 216

abc: 4.649 4.649 4.649
angles: 60.00 60.00 60.00
Element x y z (fractional)
Al 0.000 0.000 0.000
Gd 0.250 0.250 0.250
Ge 0.750 0.750 0.750